[1]
This record from Alexandria via LeMat-Bulk describes a relaxed structure of CrReW3. The functional is PBE.

Structure (POSCAR):
```
CrReW3
1.0
4.4229 0.0000 0.0000
0.0000 4.4229 0.0000
0.0000 0.0000 4.4229
Cr Re W
1 1 3
Direct
0.0000 0.0000 0.0000
0.5000 0.5000 0.5000
0.0000 0.0000 0.5000
0.0000 0.5000 0.0000
0.5000 0.0000 0.0000
```

Values from the calculation:
- Space group: Pm-3m (221)
- E_tot: -10.5445 eV/atom
- ρ: 15.16 g/cm3
- D(E_F): 5.77 states/eV per cell

=====

[2]
This record from Alexandria via LeMat-Bulk describes a relaxed structure of CrRe2W. The functional is PBE.

Structure (POSCAR):
```
CrRe2W
1.0
4.7414 -0.0231 0.0000
1.5424 4.4836 0.0000
-3.1419 -2.2303 2.7633
Re Cr W
2 1 1
Direct
0.0000 0.0000 0.0000
0.5000 0.5000 0.0000
0.7500 0.2500 0.5000
0.2500 0.7500 0.5000
```

Values from the calculation:
- Space group: I4/mmm (139)
- E_tot: -11.6454 eV/atom
- ρ: 17.16 g/cm3
- D(E_F): 4.31 states/eV per cell